VASP calculation (PBE) on a geometry-optimized YGeBRh3 structure.

Cell lengths 6.6841, 6.6841, 5.7581 Å; angles 90.00, 90.00, 129.56 degrees
Closest atoms and distances in Å follow each position.
Atoms (fractional coordinates):
Y  0.2428  0.7572  0.7500  4 Rh 2.95-3.03, 1 B 3.20, 4 Ge 3.21-3.26
Y  0.7572  0.2428  0.2500  4 Rh 2.95-3.03, 1 B 3.20, 4 Ge 3.21-3.26
Ge  0.1254  0.8746  0.2500  5 Rh 2.35-2.52
Ge  0.8746  0.1254  0.7500  5 Rh 2.35-2.52
B  0.4926  0.5074  0.2500  5 Rh 2.04-2.09
B  0.5074  0.4926  0.7500  5 Rh 2.04-2.09
Rh  0.2461  0.2461  0.0000  2 B 2.04
Rh  0.2461  0.2461  0.5000  2 B 2.04
Rh  0.3200  0.6800  0.2500  1 B 2.09
Rh  0.6800  0.3200  0.7500  1 B 2.09
Rh  0.7539  0.7539  0.0000  2 B 2.04
Rh  0.7539  0.7539  0.5000  2 B 2.04

Results
Density of states at the Fermi level   6.290 states/eV/cell
Calculated volume   198.3 Å³/cell
SG   Cmcm, No. 63
Formation enthalpy at 0 K   -0.66 eV/atom
DFT total energy   -87.5 eV/cell